DFT (PBE with a Hubbard U) results for a relaxed CdGeMoO6 crystal.

The structure in CIF format:
```
data_CdGeMoO6
_cell_length_a 4.7890
_cell_length_b 4.7890
_cell_length_c 9.2645
_cell_angle_alpha 90.00
_cell_angle_beta 90.00
_cell_angle_gamma 90.00
_space_group_name_H-M_alt 'P 42 n m'
_space_group_IT_number 102
loop_
_space_group_symop_operation_xyz
'x,y,z'
'-y+1/2,x+1/2,z+1/2'
'-x,-y,z'
'y+1/2,-x+1/2,z+1/2'
'-x+1/2,y+1/2,z+1/2'
'y,x,z'
'x+1/2,-y+1/2,z+1/2'
'-y,-x,z'
loop_
_atom_site_label
_atom_site_fract_x
_atom_site_fract_y
_atom_site_fract_z
Cd1 0.0000 0.0000 0.0000
Ge1 0.0000 0.0000 0.6688
Mo1 0.0000 0.0000 0.3291
O1 0.1721 0.1721 0.5041
O2 0.2121 0.2121 0.8100
O3 0.2187 0.2187 0.1975
```

Mass density: 5.892 Mg/m³
Total energy: -6.10 eV per atom
Volume: 106.2 Å³/f.u.